Entry from the Alexandria database: a relaxed AcURhS4 crystal (PBE). Values from VASP.

## Properties
The calculation puts the calculated volume at 21.46 A^3/atom. The value obtained for the uncorrected formation energy is -1.32 eV per atom. Its crystal system is monoclinic.

Cell and atoms, written as Quantum ESPRESSO input:
```
&SYSTEM
  ibrav = 0, nat = 14, ntyp = 4
/
ATOMIC_SPECIES
Rh 102.91 Rh.upf
U 238.03 U.upf
S 32.06 S.upf
Ac 227.00 Ac.upf
CELL_PARAMETERS angstrom
-4.937 2.501 -3.420
1.341 -3.529 -4.518
-2.969 -6.427 4.139
ATOMIC_POSITIONS crystal
Rh 0.767 0.250 0.668
Rh 0.233 0.750 0.332
U 0.243 0.250 0.555
U 0.757 0.750 0.445
S 0.035 0.983 0.733
S 0.965 0.017 0.267
S 0.035 0.517 0.733
S 0.552 0.250 0.394
S 0.965 0.483 0.267
S 0.448 0.750 0.606
S 0.440 0.750 0.135
S 0.560 0.250 0.865
Ac 0.251 0.250 0.059
Ac 0.749 0.750 0.941
```